Entry 1:
Compound: GaFe3Au
Source: Alexandria
Functional: PBE
Structure: optimized geometry

**Symmetry**: Pm-3m (221)
**ΔE_f**: 1.25 eV per atom

Structure (extended XYZ):
```
5
Lattice="-2.731 -3.039 2.487 -0.905 -2.461 -4.000 3.821 -2.755 0.831" Properties=species:S:1:pos:R:3 pbc="T T T"
Au 0.000 0.000 0.000
Fe -0.452 -1.231 -2.000
Fe 1.911 -1.377 0.415
Fe -1.366 -1.519 1.244
Ga 0.093 -4.127 -0.341
```



Entry 2:
Compound: Ga2FeAu
Source: Alexandria
Functional: PBE
Structure: optimized geometry

**Symmetry**: R3m (160)
**ΔE_f**: -0.03 eV per atom

Structure (extended XYZ):
```
4
Lattice="-1.688 -2.115 1.089 -0.635 -2.340 -1.622 5.931 -5.332 2.746" Properties=species:S:1:pos:R:3 pbc="T T T"
Ga 4.452 -4.484 2.102
Ga 0.715 -2.340 0.472
Fe -1.540 -2.975 -0.351
Au 1.783 -4.882 1.098
```



Entry 3:
Compound: GaFeIrAu2
Source: Alexandria
Functional: PBE
Structure: optimized geometry

**Symmetry**: P4/mmm (123)
**ΔE_f**: 0.94 eV per atom

Structure (extended XYZ):
```
5
Lattice="-4.094 -2.359 -1.312 -1.134 -0.388 4.237 -2.385 4.277 -0.247" Properties=species:S:1:pos:R:3 pbc="T T T"
Ir -0.567 -0.194 2.119
Au -1.193 2.139 -0.123
Au -2.047 -1.179 -0.656
Fe 0.000 0.000 0.000
Ga -3.807 0.765 1.339
```



Number 1: raw total energy -25.46 eV/cell, total moment 9.57 μB per cell, density 6.59 g cm⁻³. Number 2: raw total energy -17.91 eV/cell, total moment 1.36 μB per cell, density 10.70 g cm⁻³. Number 3: raw total energy -22.18 eV/cell, total moment 2.10 μB per cell, density 11.16 g cm⁻³.